An optimized crystal structure of Cl2F13. Source: Alexandria, functional PBE.

a b c (Å): 4.999 6.264 7.686
angles (deg): 67.22 82.51 79.44
Space group P-1 (No. 2)
Symmetry-distinct sites (fractional):
Cl1 0.183 0.125 0.228
F1 0.000 0.000 0.500
F2 0.118 0.720 0.864
F3 0.120 0.890 0.187
F4 0.254 0.365 0.257
F5 0.328 0.221 0.014
F6 0.370 0.509 0.550
F7 0.491 0.977 0.306

Computed properties:
**M_tot**: 0.92 Bohr magnetons per cell
**Crystal system**: triclinic
**Electronic total energy**: -2.33 eV per atom
**ρ**: 2.4 g/cm³
**Fermi-level density of states**: 4.13 states/eV/f.u.
**E_form (uncorrected)**: -7.0 eV per formula unit

An optimized crystal structure of Cl3F. Source: Alexandria, functional PBE.

a b c (Å): 6.542 6.542 6.542
angles (deg): 90.00 90.00 90.00
Space group Fm-3m (No. 225)
Symmetry-distinct sites (fractional):
Cl1 0.000 0.000 0.000
Cl2 0.250 0.250 0.250
F1 0.000 0.000 0.500

Computed properties:
**Energy relative to the lowest polymorph listed for this composition**: 903 meV/atom
**M_tot**: 0.00 Bohr magnetons per cell
**Crystal system**: cubic
**Electronic total energy**: -1.14 eV per atom
**ρ**: 3.0 g/cm³
**Fermi-level density of states**: 2.05 states/eV/f.u.
**E_form (uncorrected)**: 2.9 eV per formula unit

An optimized crystal structure of Cl3F. Source: Alexandria, functional PBE.

a b c (Å): 3.0578 3.0578 31.1889
angles (deg): 90.00 90.00 120.00
Space group R-3m (No. 166, hexagonal axes)
Symmetry-distinct sites (fractional):
Cl1 0.0000 0.0000 0.0000
Cl2 0.0000 0.0000 0.4360
F1 0.0000 0.0000 0.5000

Computed properties:
**Energy relative to the lowest polymorph listed for this composition**: 629 meV/atom
**M_tot**: 0.00 Bohr magnetons per cell
**Crystal system**: trigonal
**Electronic total energy**: -1.41 eV per atom
**ρ**: 2.5 g/cm³
**Fermi-level density of states**: 4.10 states/eV/f.u.
**E_form (uncorrected)**: 1.8 eV per formula unit

An optimized crystal structure of Cl2F. Source: Alexandria, functional PBE.

a b c (Å): 5.053 5.298 7.265
angles (deg): 99.11 108.90 104.13
Space group P-1 (No. 2)
Symmetry-distinct sites (fractional):
Cl1 0.122 0.385 0.092
Cl2 0.188 0.958 0.554
F1 0.439 0.294 0.160

Computed properties:
**M_tot**: 0.00 Bohr magnetons per cell
**Crystal system**: triclinic
**Electronic total energy**: -2.08 eV per atom
**ρ**: 1.7 g/cm³
**E_form (uncorrected)**: -0.7 eV per formula unit

An optimized crystal structure of Cl4F. Source: Alexandria, functional PBE.

a b c (Å): 5.068 7.171 9.370
angles (deg): 70.58 75.93 89.80
Space group P1 (No. 1)
Symmetry-distinct sites (fractional):
Cl1 0.000 0.000 0.000
Cl2 0.005 0.398 0.517
Cl3 0.102 0.702 0.362
Cl4 0.278 0.216 0.975
Cl5 0.415 0.900 0.521
Cl6 0.466 0.198 0.356
Cl7 0.616 0.699 0.017
Cl8 0.895 0.501 0.997
F1 0.390 0.649 0.658
F2 0.906 0.144 0.646

Computed properties:
**Energy relative to the lowest polymorph listed for this composition**: 0 meV/atom
**M_tot**: 1.94 Bohr magnetons per cell
**Crystal system**: triclinic
**Electronic total energy**: -1.91 eV per atom
**ρ**: 1.7 g/cm³
**Fermi-level density of states**: 2.54 states/eV/f.u.
**E_form (uncorrected)**: -0.3 eV per formula unit

An optimized crystal structure of ClF4. Source: Alexandria, functional PBE.

a b c (Å): 4.029 4.029 4.029
angles (deg): 90.00 90.00 90.00
Space group Pm-3m (No. 221)
Symmetry-distinct sites (fractional):
Cl1 0.000 0.000 0.000
F1 0.000 0.000 0.500
F2 0.500 0.500 0.500

Computed properties:
**Energy relative to the lowest polymorph listed for this composition**: 624 meV/atom
**M_tot**: 0.80 Bohr magnetons per cell
**Crystal system**: cubic
**Electronic total energy**: -1.79 eV per atom
**ρ**: 2.8 g/cm³
**Fermi-level density of states**: 11.29 states/eV/f.u.
**E_form (uncorrected)**: 0.4 eV per formula unit

Which of these has the highest electronic total energy? number 2